Entry 1:
Ta2TiH2: relaxed, PBE.

a b c (Å): 5.5526 5.5634 5.5634
angles (deg): 90.00 120.12 120.12
Atoms (fractional coordinates):
Ta  0.0000  0.0000  0.5000
Ta  0.5000  0.5000  0.5000
Ta  0.0000  0.5000  0.5000
Ta  0.5000  0.5000  0.0000
H  0.7086  0.1033  0.2104
H  0.7914  0.7896  0.8967
H  0.2914  0.8967  0.7896
H  0.2086  0.2104  0.1033
Ti  0.7500  0.1341  0.8659
Ti  0.2500  0.8659  0.1341

Theoretical density   11.29 g/cm3
Energy   -39.06 eV/f.u.
E above lowest polymorph   21 kJ/mol of formula units
SG   C2/c

Entry 2:
TaTi5H8: relaxed, PBE.

a b c (Å): 5.3694 5.3694 5.3694
angles (deg): 110.07 108.27 110.07
Atoms (fractional coordinates):
Ti  0.0117  0.3978  0.1078
Ti  0.3861  0.0961  0.9883
Ti  0.8922  0.9039  0.2901
Ti  0.5000  0.0000  0.5000
Ti  0.7099  0.6022  0.6139
H  0.6294  0.3682  0.8750
H  0.1250  0.7544  0.4932
H  0.7388  0.2456  0.3706
H  0.2565  0.2596  0.3669
H  0.5068  0.6318  0.2612
H  0.1072  0.7404  0.9968
H  0.6331  0.8896  0.8928
H  0.0032  0.1104  0.7435
Ta  0.2500  0.5000  0.7500

Theoretical density   5.97 g/cm3
Energy   -79.74 eV/f.u.
SG   I-4